Record 1
VASP calculation (PBE) on Er2Ga8Rh after structural relaxation.

Cell and atoms, written as POSCAR:
```
Er2Ga8Rh
1.0
-4.214 0.050 -0.798
-0.612 -2.954 3.049
-1.330 8.047 7.530
Ga Er Rh
8 2 1
Cartesian
-2.772 4.048 3.366
-2.822 1.018 3.438
-1.473 5.583 8.131
-0.469 -0.490 2.448
-2.270 1.012 0.525
-0.971 2.546 5.289
-3.274 7.085 6.208
-3.335 4.124 6.344
-0.411 2.488 2.329
-0.919 5.558 5.201
0.000 0.000 0.000
```

Values from the calculation:
magnetic moment: 0.0 μB per cell
calculated formation energy: -0.5483 eV per atom

Record 2
VASP calculation (PBE) on Er4Ga6Rh7 after structural relaxation.

Cell and atoms, written as POSCAR:
```
Er4Ga6Rh7
1.0
6.843 0.000 -2.419
-3.422 5.926 -2.419
0.000 0.000 7.258
Er Rh Ga
4 7 6
Cartesian
0.000 0.000 3.629
3.422 0.000 -1.210
1.711 2.963 1.210
-1.711 2.963 -1.210
2.566 1.482 3.629
0.855 4.445 -1.210
-0.855 4.445 1.210
3.422 2.963 -1.210
0.000 2.963 3.629
0.000 0.000 0.000
4.277 1.482 1.210
1.081 1.872 -1.529
4.681 0.000 3.310
2.162 0.000 1.529
2.341 4.054 -3.310
-2.341 4.054 3.310
-1.081 1.872 1.529
```

Values from the calculation:
magnetic moment: 0.0 μB per cell
calculated formation energy: -0.8489 eV per atom

Record 3
VASP calculation (PBE) on Er3Ga2Rh5 after structural relaxation.

Cell and atoms, written as POSCAR:
```
Er3Ga2Rh5
1.0
-2.055 0.487 2.892
-5.772 -7.631 -2.817
5.779 -6.277 5.164
Rh Ga Er
10 4 6
Cartesian
-1.832 -1.814 1.221
-5.168 -8.165 -0.081
-1.830 -4.841 1.732
-2.654 -7.871 1.657
-0.216 -11.607 4.019
-3.913 -3.572 0.037
0.606 -5.550 3.583
3.120 -5.256 5.320
1.862 -2.895 4.028
-0.218 -8.579 3.507
-1.459 -3.648 -0.422
1.466 -10.260 2.770
-2.883 -9.051 -0.524
2.890 -4.857 2.872
-0.886 -10.536 1.145
0.004 -6.954 1.174
-2.885 -6.219 -1.003
0.894 -3.373 1.203
2.892 -7.689 3.350
0.000 0.000 0.000
```

Values from the calculation:
magnetic moment: 0.0 μB per cell
calculated formation energy: -0.8599 eV per atom

Record 4
VASP calculation (PBE) on ErGa3Rh4 after structural relaxation.

Cell and atoms, written as POSCAR:
```
ErGa3Rh4
1.0
4.228 0.000 1.248
1.930 3.762 1.248
0.029 0.018 7.687
Ga Rh Er
3 4 1
Cartesian
4.640 2.834 7.640
3.094 1.890 5.092
1.547 0.945 2.544
2.394 1.463 7.461
5.369 3.280 5.169
3.793 2.317 2.722
0.818 0.500 5.014
0.000 0.000 0.000
```

Values from the calculation:
magnetic moment: 0.0 μB per cell
calculated formation energy: -0.7897 eV per atom

Record 5
VASP calculation (PBE) on Er2Ga5Ru2Rh after structural relaxation.

Cell and atoms, written as POSCAR:
```
Er2Ga5Ru2Rh
1.0
-1.380 2.217 -2.763
4.062 -5.683 -6.589
-7.973 -5.344 -0.306
Rh Ga Ru Er
2 10 4 4
Cartesian
0.000 0.000 0.000
-1.955 -5.514 -3.447
-3.970 -5.773 -5.265
-1.396 -5.210 -6.098
-4.676 -1.564 -1.534
1.584 -5.294 -7.653
-0.352 -0.307 -2.685
-3.894 -3.601 -3.560
-1.320 -3.037 -4.393
1.341 -1.733 -4.676
-4.938 -8.504 -6.972
-6.874 -3.517 -2.004
-4.502 -8.226 -4.352
0.592 -2.801 -2.543
-4.454 -3.991 -0.978
0.544 -7.036 -5.917
-5.239 -6.204 -2.361
-2.087 -8.294 -5.613
-1.824 -2.733 -1.282
1.329 -4.823 -4.533
```

Values from the calculation:
magnetic moment: 0.0 μB per cell
calculated formation energy: -0.4442 eV per atom

Record 6
VASP calculation (PBE) on ErGaRuRh after structural relaxation.

Cell and atoms, written as POSCAR:
```
ErGaRuRh
1.0
3.379 0.000 0.000
0.000 4.339 0.000
0.000 0.000 4.482
Ga Ru Er Rh
1 1 1 1
Cartesian
1.689 2.169 0.000
0.000 0.000 0.000
1.689 0.000 2.241
0.000 2.169 2.241
```

Values from the calculation:
magnetic moment: 0.0 μB per cell
calculated formation energy: -0.6126 eV per atom
energy relative to the lowest polymorph listed for this composition: 0.000 eV/atom

Record 7
VASP calculation (PBE) on ErGaRuRh after structural relaxation.

Cell and atoms, written as POSCAR:
```
ErGaRuRh
1.0
4.531 0.000 0.000
2.266 3.924 0.000
2.266 1.308 3.700
Ga Ru Er Rh
1 1 1 1
Cartesian
6.797 3.924 2.775
0.000 0.000 0.000
2.266 1.308 0.925
4.531 2.616 1.850
```

Values from the calculation:
magnetic moment: 0.0 μB per cell
calculated formation energy: -0.5877 eV per atom
energy relative to the lowest polymorph listed for this composition: 0.025 eV/atom

Record 8
VASP calculation (PBE) on ErGa4Ru2Rh after structural relaxation.

Cell and atoms, written as POSCAR:
```
ErGa4Ru2Rh
1.0
4.254 0.000 0.000
2.127 3.684 0.000
2.127 1.228 8.312
Ru Ga Er Rh
2 4 1 1
Cartesian
2.127 1.228 2.309
6.381 3.684 6.002
2.127 1.228 5.048
6.381 3.684 3.263
4.254 2.456 6.707
4.254 2.456 1.605
0.000 0.000 0.000
4.254 2.456 4.156
```

Values from the calculation:
magnetic moment: 0.0 μB per cell
calculated formation energy: -0.5075 eV per atom

Record 9
VASP calculation (PBE) on Er2Ga5RuRh2 after structural relaxation.

Cell and atoms, written as POSCAR:
```
Er2Ga5RuRh2
1.0
3.952 0.000 0.000
0.000 9.387 0.000
0.000 0.000 9.387
Ga Ru Rh Er
10 2 4 4
Cartesian
1.976 0.528 7.551
1.976 4.165 2.858
1.976 2.858 5.222
1.976 0.000 4.693
1.976 8.858 1.835
1.976 5.222 6.529
1.976 1.835 0.528
1.976 4.693 0.000
1.976 7.551 8.858
1.976 6.529 4.165
0.000 0.000 0.000
0.000 4.693 4.693
0.000 1.119 5.813
0.000 3.574 1.119
0.000 8.268 3.574
0.000 5.813 8.268
0.000 6.376 1.683
0.000 3.011 7.704
0.000 7.704 6.376
0.000 1.683 3.011
```

Values from the calculation:
magnetic moment: 0.0 μB per cell
calculated formation energy: -0.5616 eV per atom

Record 10
VASP calculation (PBE) on Er2Ga2SbRh5 after structural relaxation.

Cell and atoms, written as POSCAR:
```
Er2Ga2SbRh5
1.0
3.617 0.000 0.000
0.000 9.761 0.000
0.000 0.000 9.761
Rh Sb Ga Er
10 2 4 4
Cartesian
1.808 7.737 9.086
1.808 2.857 5.555
1.808 4.880 0.000
1.808 4.205 2.857
1.808 0.675 7.737
1.808 0.000 4.880
1.808 5.555 6.903
1.808 9.086 2.023
1.808 6.903 4.205
1.808 2.023 0.675
0.000 0.000 0.000
0.000 4.880 4.880
0.000 3.679 1.202
0.000 8.559 3.679
0.000 1.202 6.082
0.000 6.082 8.559
0.000 6.578 1.698
0.000 1.698 3.183
0.000 3.183 8.063
0.000 8.063 6.578
```

Values from the calculation:
magnetic moment: 0.0 μB per cell
uncorrected formation energy: -0.83 eV per atom

Record 11
VASP calculation (PBE) on ErScGaRh after structural relaxation.

Cell and atoms, written as POSCAR:
```
ErScGaRh
1.0
-3.866 -0.301 -2.827
0.509 -1.025 -4.660
-1.412 -4.264 -1.687
Sc Ga Rh Er
1 1 1 1
Cartesian
-2.384 -2.795 -4.587
-1.192 -1.398 -2.293
-3.576 -4.193 -6.880
0.000 0.000 0.000
```

Values from the calculation:
magnetic moment: 0.0 μB per cell
calculated formation energy: -0.7241 eV per atom
energy relative to the lowest polymorph listed for this composition: 0.062 eV/atom

Record 12
VASP calculation (PBE) on ErScGaRh after structural relaxation.

Cell and atoms, written as POSCAR:
```
ErScGaRh
1.0
3.392 0.000 0.000
0.000 3.392 0.000
0.000 0.000 6.781
Ga Rh Sc Er
1 1 1 1
Cartesian
1.696 1.696 0.885
1.696 1.696 3.962
0.000 0.000 2.519
0.000 0.000 5.708
```

Values from the calculation:
magnetic moment: 0.0 μB per cell
calculated formation energy: -0.7866 eV per atom
energy relative to the lowest polymorph listed for this composition: 0.000 eV/atom